{
  "formula": "Pr2Be2CoO6",
  "functional": "PBE with a Hubbard U",
  "state": "relaxed",
  "sg": "R-3m",
  "m_tot_mub_per_cell": 3.000,
  "final_energy_ev_per_cell": -78.60,
  "dos_at_fermi_per_ev_fu": 5.79,
  "lattice_angstrom": [[2.6492, 1.5295, 5.2536], [-2.6492, 1.5295, 5.2536], [0.0000, -3.0590, 5.2536]],
  "species": ["Pr", "Pr", "Be", "Be", "Co", "O", "O", "O", "O", "O", "O"],
  "frac_coords": [[0.2167, 0.2167, 0.2167], [0.7833, 0.7833, 0.7833], [0.4232, 0.4232, 0.4232], [0.5768, 0.5768, 0.5768], [0.0000, 0.0000, 0.0000], [0.2448, 0.7434, 0.7434], [0.2566, 0.2566, 0.7552], [0.2566, 0.7552, 0.2566], [0.7434, 0.2448, 0.7434], [0.7434, 0.7434, 0.2448], [0.7552, 0.2566, 0.2566]]
}